A plane-wave DFT calculation with GGA+U was carried out for an optimized crystal structure of Ac2MnAs2O2.

## Properties
DOS(E_F) = 0.7 states/eV per cell
theoretical density = 7.526 g/cm³

a b c (Å): 4.3121 6.2911 7.0855
angles (deg): 58.72 72.28 69.96
Closest atoms and distances in Å follow each position.
Positions (direct):
O: 0.8083 0.2847 0.0988  1 Mn 2.08
O: 0.1917 0.7153 0.9012  1 Mn 2.08
Ac: 0.2041 0.3273 0.2645  3 O 2.46-2.50
As: 0.5295 0.2744 0.6666  1 As 2.57
Ac: 0.7959 0.6727 0.7355  3 O 2.46-2.50
Mn: 0.0000 0.0000 0.0000  2 O 2.08
As: 0.4705 0.7256 0.3334  1 As 2.57

---

A plane-wave DFT calculation with GGA+U was carried out for an optimized crystal structure of AcMnAsO.

## Properties
theoretical density = 6.885 g/cm³

a b c (Å): 4.3175 4.3175 11.4166
angles (deg): 79.10 79.10 60.00
Closest atoms and distances in Å follow each position.
Positions (direct):
Ac: 0.8801 0.8801 0.3596  4 O 2.47-2.58
O: 0.8061 0.8061 0.5818  4 Ac 2.47-2.58
Ac: 0.1199 0.1199 0.6404  4 O 2.47-2.58
Mn: 0.3047 0.3047 0.0859  4 As 2.63-2.75
Mn: 0.6953 0.6953 0.9141  4 As 2.63-2.75
As: 0.6131 0.6131 0.1606  4 Mn 2.63-2.75
O: 0.1939 0.1939 0.4182  4 Ac 2.47-2.58
As: 0.3869 0.3869 0.8394  4 Mn 2.63-2.75

---

Values for raw total energy, Ry/atom, ordered as above
-0.506, -0.517